A plane-wave DFT calculation with PBE was carried out for a geometry-optimized ScRe2HgAs structure.

Cell: 5.012 5.012 4.912 Å, 90.00 90.00 90.00°
Positions (direct):
Sc1 0.000 0.000 0.000
Re1 0.000 0.500 0.500
Re2 0.500 0.000 0.500
Hg1 0.500 0.500 0.500
As1 0.500 0.500 0.000

Values from the calculation:
Space group: P4/mmm
VASP energy in eV per cell: -25.31
Formation energy in kJ/mol of formula units: 1048